DFT (GGA-PBE) results for a relaxed FeSi2Sb crystal.

a = 3.438 Å, b = 4.044 Å, c = 4.809 Å
α = 90.00°, β = 90.00°, γ = 90.00°
Element x y z (fractional)
Fe 0.000 0.000 0.000
Si 0.000 0.500 0.500
Si 0.500 0.000 0.500
Sb 0.500 0.500 0.000

Crystal system: orthorhombic
Symmetry: Pmmm, No. 47
Energy in eV per atom: -5.28
Energy relative to the elements, uncorrected in eV/f.u.: 2.306

=====

DFT (GGA-PBE) results for a relaxed FeSi2Sb crystal.

a = 5.207 Å, b = 7.449 Å, c = 3.460 Å
α = 90.00°, β = 90.00°, γ = 90.00°
Element x y z (fractional)
Fe 0.000 0.000 0.000
Fe 0.500 0.500 0.000
Si 0.250 0.250 0.500
Si 0.250 0.750 0.500
Si 0.750 0.250 0.500
Si 0.750 0.750 0.500
Sb 0.000 0.500 0.000
Sb 0.500 0.000 0.000

Crystal system: orthorhombic
Symmetry: Cmmm, No. 65
Energy in eV per atom: -5.28
Energy relative to the elements, uncorrected in eV/f.u.: 2.299

=====

DFT (GGA-PBE) results for a relaxed FeSiSb2 crystal.

a = 6.897 Å, b = 6.897 Å, c = 6.897 Å
α = 90.00°, β = 90.00°, γ = 90.00°
Element x y z (fractional)
Fe 0.000 0.000 0.000
Fe 0.000 0.500 0.500
Fe 0.500 0.000 0.500
Fe 0.500 0.500 0.000
Si 0.250 0.250 0.250
Si 0.250 0.750 0.750
Si 0.750 0.250 0.750
Si 0.750 0.750 0.250
Sb 0.000 0.000 0.500
Sb 0.000 0.500 0.000
Sb 0.250 0.250 0.750
Sb 0.250 0.750 0.250
Sb 0.500 0.000 0.000
Sb 0.500 0.500 0.500
Sb 0.750 0.250 0.250
Sb 0.750 0.750 0.750

Crystal system: cubic
Symmetry: F-43m, No. 216
Energy in eV per atom: -4.82
Energy relative to the elements, uncorrected in eV/f.u.: 2.864

=====

DFT (GGA-PBE) results for a relaxed FeSi2Sb crystal.

a = 4.003 Å, b = 4.007 Å, c = 4.496 Å
α = 90.00°, β = 107.07°, γ = 90.00°
Element x y z (fractional)
Fe 0.000 0.000 0.000
Si 0.104 0.500 0.776
Si 0.896 0.500 0.224
Sb 0.500 0.000 0.500

Crystal system: monoclinic
Symmetry: P2/m, No. 10
Energy in eV per atom: -5.55
Energy relative to the elements, uncorrected in eV/f.u.: 1.216

=====

DFT (GGA-PBE) results for a relaxed FeSi4Sb crystal.

a = 5.183 Å, b = 5.183 Å, c = 5.183 Å
α = 60.00°, β = 60.00°, γ = 60.00°
Element x y z (fractional)
Fe 0.000 0.000 0.000
Si 0.374 0.374 0.374
Si 0.374 0.374 0.879
Si 0.374 0.879 0.374
Si 0.879 0.374 0.374
Sb 0.750 0.750 0.750

Crystal system: cubic
Symmetry: F-43m, No. 216
Energy in eV per atom: -5.08
Energy relative to the elements, uncorrected in eV/f.u.: 3.824

=====

DFT (GGA-PBE) results for a relaxed FeSiSb crystal.

a = 8.657 Å, b = 8.657 Å, c = 8.657 Å
α = 25.79°, β = 25.79°, γ = 25.79°
Element x y z (fractional)
Fe 0.000 0.000 0.000
Fe 0.393 0.393 0.393
Si 0.092 0.092 0.092
Si 0.695 0.695 0.695
Sb 0.280 0.280 0.280
Sb 0.496 0.496 0.496

Crystal system: trigonal
Symmetry: R3m, No. 160
Energy in eV per atom: -6.10
Energy relative to the elements, uncorrected in eV/f.u.: -0.285

=====

DFT (GGA-PBE) results for a relaxed FeSiSb3 crystal.

a = 4.896 Å, b = 4.896 Å, c = 4.896 Å
α = 90.00°, β = 90.00°, γ = 90.00°
Element x y z (fractional)
Fe 0.000 0.000 0.000
Si 0.500 0.500 0.500
Sb 0.000 0.000 0.500
Sb 0.000 0.500 0.000
Sb 0.500 0.000 0.000

Crystal system: cubic
Symmetry: Pm-3m, No. 221
Energy in eV per atom: -4.62
Energy relative to the elements, uncorrected in eV/f.u.: 3.155

=====

DFT (GGA-PBE) results for a relaxed FeSi2Sb crystal.

a = 3.011 Å, b = 3.011 Å, c = 7.401 Å
α = 90.00°, β = 90.00°, γ = 90.00°
Element x y z (fractional)
Fe 0.000 0.000 0.000
Si 0.000 0.000 0.653
Si 0.500 0.500 0.854
Sb 0.500 0.500 0.252

Crystal system: tetragonal
Symmetry: P4mm, No. 99
Energy in eV per atom: -5.69
Energy relative to the elements, uncorrected in eV/f.u.: 0.658